[1]
SbTe2MoS, relaxed, DFT PBE; ΔE to the lowest computed polymorph = 443 meV/atom; E_form (uncorrected) = 496 kJ/mol of formula units
1.0
-3.5171 3.4382 -1.5661
-3.6803 -2.6343 2.4818
0.8607 2.8302 4.2805
Sb Mo Te S
1 1 2 1
Direct
0.0000 0.0000 0.5000 Sb
0.5000 0.5000 0.5000 Mo
0.0000 0.5000 0.0000 Te
0.5000 0.0000 0.0000 Te
0.0000 0.0000 0.0000 S

=====

[2]
Sb2TeMoS, relaxed, DFT PBE; ΔE to the lowest computed polymorph = 492 meV/atom; E_form (uncorrected) = 496 kJ/mol of formula units
1.0
-1.2861 4.7773 -1.4574
-4.8609 -1.5431 -0.7687
-1.1363 1.1698 4.8373
Sb Mo Te S
2 1 1 1
Direct
0.0000 0.5000 0.0000 Sb
0.5000 0.0000 0.0000 Sb
0.5000 0.5000 0.5000 Mo
0.0000 0.0000 0.5000 Te
0.0000 0.0000 0.0000 S

=====

[3]
Sb2TeMoS, relaxed, DFT PBE; ΔE to the lowest computed polymorph = 0 meV/atom; E_form (uncorrected) = 259 kJ/mol of formula units
1.0
5.2333 0.0000 0.0000
0.0000 5.2333 0.0000
0.0000 0.0000 5.0946
Sb Mo Te S
2 1 1 1
Direct
0.0000 0.5000 0.0000 Sb
0.5000 0.0000 0.0000 Sb
0.0000 0.0000 0.0000 Mo
0.0000 0.0000 0.5000 Te
0.5000 0.5000 0.5000 S

=====

[4]
SbTe2MoS, relaxed, DFT PBE; ΔE to the lowest computed polymorph = 0 meV/atom; E_form (uncorrected) = 283 kJ/mol of formula units
1.0
5.1521 0.0000 0.0000
0.0000 5.1521 0.0000
0.0000 0.0000 5.3283
Sb Mo Te S
1 1 2 1
Direct
0.0000 0.0000 0.5000 Sb
0.0000 0.0000 0.0000 Mo
0.0000 0.5000 0.0000 Te
0.5000 0.0000 0.0000 Te
0.5000 0.5000 0.5000 S

=====

[5]
TiSbMoS2, relaxed, DFT PBE; E_form (uncorrected) = 690 kJ/mol of formula units
1.0
4.9378 0.0000 0.0000
0.0000 5.1086 0.0000
0.0000 0.0000 4.9378
Sb Mo S Ti
1 1 2 1
Direct
0.0000 0.0000 0.0000 Sb
0.0000 0.5000 0.0000 Mo
0.0000 0.0000 0.5000 S
0.5000 0.0000 0.0000 S
0.5000 0.5000 0.5000 Ti

=====

[6]
ScMoS3, relaxed, DFT PBE; ΔE to the lowest computed polymorph = 423 meV/atom; E_form (uncorrected) = 40 kJ/mol of formula units
1.0
4.8405 0.0000 0.0000
0.0000 4.8405 0.0000
0.0000 0.0000 4.8405
Sc Mo S
1 1 3
Direct
0.0000 0.0000 0.0000 Sc
0.5000 0.5000 0.5000 Mo
0.0000 0.5000 0.0000 S
0.0000 0.0000 0.5000 S
0.5000 0.0000 0.0000 S